Record 1
A plane-wave DFT calculation with PBE-GGA was carried out for Ac2NdSb3Rh6 after structural relaxation.

a = 4.185 Å, b = 4.185 Å, c = 17.322 Å
α = 90.00°, β = 90.00°, γ = 90.00°
Fractional coordinates of all 12 atoms:
1 Sb 0.000 0.000 0.000
2 Sb 0.000 0.000 0.704
3 Sb 0.000 0.000 0.296
4 Ac 0.500 0.500 0.159
5 Ac 0.500 0.500 0.841
6 Nd 0.500 0.500 0.500
7 Rh 0.500 0.000 0.620
8 Rh 0.000 0.000 0.853
9 Rh 0.000 0.500 0.380
10 Rh 0.500 0.000 0.380
11 Rh 0.000 0.000 0.147
12 Rh 0.000 0.500 0.620

Computed properties:
* formation energy (no corrections): -0.50 eV per atom

Record 2
A plane-wave DFT calculation with PBE-GGA was carried out for ErHgTe2 after structural relaxation.

a = 4.453 Å, b = 4.453 Å, c = 27.721 Å
α = 90.00°, β = 90.00°, γ = 60.00°
Fractional coordinates of all 12 atoms:
1 Te 0.333 0.004 0.560
2 Te 0.662 0.333 0.226
3 Te 0.996 0.667 0.107
4 Te 0.338 0.996 0.774
5 Te 0.667 0.337 0.440
6 Te 0.004 0.662 0.893
7 Er 0.000 0.671 0.500
8 Er 0.671 0.329 0.833
9 Er 0.329 0.000 0.167
10 Hg 0.336 0.000 0.667
11 Hg 0.000 0.664 0.000
12 Hg 0.664 0.336 0.333

Computed properties:
* formation energy (no corrections): -0.75 eV per atom
* polymorph energy (0 for the lowest one): 0.0065 eV/atom